{
  "formula": "PuMgPt2",
  "functional": "PBE-GGA",
  "state": "relaxed",
  "space_group": "P4/mmm (123)",
  "e_form_ev_per_atom": -0.769,
  "total_magnetization_mub_per_cell": 5.2,
  "dft_energy_ev_per_atom": -7.771,
  "crystal_system": "tetragonal",
  "lattice_angstrom": [[3.324, 0.000, 0.000], [0.000, 3.324, 0.000], [0.000, 0.000, 6.804]],
  "species": ["Mg", "Pt", "Pt", "Pu"],
  "frac_coords": [[0.500, 0.500, 0.000], [0.000, 0.000, 0.781], [0.000, 0.000, 0.219], [0.500, 0.500, 0.500]]
}

=====

{
  "formula": "Pu2Mg3Pt4",
  "functional": "PBE-GGA",
  "state": "relaxed",
  "space_group": "Cmce (64)",
  "e_form_ev_per_atom": -0.725,
  "total_magnetization_mub_per_cell": 22.4,
  "dft_energy_ev_per_atom": -7.126,
  "crystal_system": "orthorhombic",
  "lattice_angstrom": [[-3.910, -2.844, 3.133], [4.229, -6.087, -0.248], [5.786, 3.801, 5.375]],
  "species": ["Pu", "Pu", "Pu", "Pu", "Mg", "Mg", "Mg", "Mg", "Mg", "Mg", "Pt", "Pt", "Pt", "Pt", "Pt", "Pt", "Pt", "Pt"],
  "frac_coords": [[0.098, 0.595, 0.196], [0.902, 0.405, 0.804], [0.402, 0.095, 0.804], [0.598, 0.905, 0.196], [0.000, 0.000, 0.000], [0.500, 0.500, 0.000], [0.518, 0.750, 0.536], [0.982, 0.250, 0.464], [0.482, 0.250, 0.464], [0.018, 0.750, 0.536], [0.681, 0.750, 0.862], [0.819, 0.250, 0.138], [0.319, 0.250, 0.138], [0.181, 0.750, 0.862], [0.165, 0.965, 0.331], [0.835, 0.035, 0.669], [0.335, 0.465, 0.669], [0.665, 0.535, 0.331]]
}

=====

{
  "formula": "PuMgPtRh",
  "functional": "PBE-GGA",
  "state": "relaxed",
  "space_group": "F-43m (216)",
  "e_form_ev_per_atom": -0.602,
  "total_magnetization_mub_per_cell": 4.8,
  "dft_energy_ev_per_atom": -7.932,
  "crystal_system": "cubic",
  "lattice_angstrom": [[-2.135, -2.385, -3.470], [-2.031, -4.166, 0.901], [-4.704, -0.392, -0.048]],
  "species": ["Mg", "Rh", "Pt", "Pu"],
  "frac_coords": [[0.500, 0.500, 0.500], [0.250, 0.250, 0.250], [0.750, 0.750, 0.750], [0.000, 0.000, 0.000]]
}

=====

{
  "formula": "Pu2MgSb3Pt4",
  "functional": "PBE-GGA",
  "state": "relaxed",
  "space_group": "P-4m2 (115)",
  "formation_energy_uncorrected_ev_per_atom": -0.64,
  "total_magnetization_mub_per_cell": 11.2,
  "dft_energy_ev_per_atom": -7.322,
  "crystal_system": "tetragonal",
  "lattice_angstrom": [[-3.927, -0.468, 2.036], [-0.561, -3.940, -1.988], [5.030, -5.028, 8.546]],
  "species": ["Pu", "Pu", "Mg", "Sb", "Sb", "Sb", "Pt", "Pt", "Pt", "Pt"],
  "frac_coords": [[0.500, 0.000, 0.239], [0.000, 0.500, 0.761], [0.500, 0.500, 0.500], [0.000, 0.000, 0.500], [0.500, 0.000, 0.865], [0.000, 0.500, 0.135], [0.500, 0.500, 0.000], [0.000, 0.000, 0.000], [0.500, 0.000, 0.634], [0.000, 0.500, 0.366]]
}

=====

Repeat the first record exactly.
{
  "formula": "PuMgPt2",
  "functional": "PBE-GGA",
  "state": "relaxed",
  "space_group": "P4/mmm (123)",
  "e_form_ev_per_atom": -0.769,
  "total_magnetization_mub_per_cell": 5.2,
  "dft_energy_ev_per_atom": -7.771,
  "crystal_system": "tetragonal",
  "lattice_angstrom": [[3.324, 0.000, 0.000], [0.000, 3.324, 0.000], [0.000, 0.000, 6.804]],
  "species": ["Mg", "Pt", "Pt", "Pu"],
  "frac_coords": [[0.500, 0.500, 0.000], [0.000, 0.000, 0.781], [0.000, 0.000, 0.219], [0.500, 0.500, 0.500]]
}